Below is a relaxed structure of ZnH2Cl, with properties calculated at the PBE level.

Calculated values
- Energy above the most stable polymorph in this dataset: 13.95 kcal/mol of atoms
- Fermi-level density of states: 1.51 states/eV per cell
- Magnetic moment: 0.00 μB per formula unit
- Final energy: -1.540 eV/atom

Unit cell a=3.9577 b=3.9577 c=3.9577 alpha=60.00 beta=60.00 gamma=60.00
With the nearest neighbours (Å) after each atom.
Sites, in units of the cell vectors:
Cl1 0.0000 0.0000 0.0000  8 H 2.42
H1 0.7500 0.7500 0.7500  4 Zn 2.42, 4 Cl 2.42
H2 0.2500 0.2500 0.2500  4 Zn 2.42, 4 Cl 2.42
Zn1 0.5000 0.5000 0.5000  8 H 2.42